1.
{"formula": "Na3HSe2", "functional": "PBE-GGA", "state": "optimized geometry", "m_tot_mub_per_cell": 0.0, "de_polymorph_mev_per_atom": 83, "lattice": [[-3.202, 5.908, 3.810], [3.202, -5.908, 3.810], [3.202, 5.908, -3.810]], "species": ["Na", "Na", "Na", "Na", "Na", "Na", "H", "H", "Se", "Se", "Se", "Se"], "fractional_positions": [[0.022, 0.750, 0.272], [0.250, 0.250, 0.000], [0.478, 0.750, 0.728], [0.522, 0.250, 0.272], [0.750, 0.750, 0.000], [0.978, 0.250, 0.728], [0.000, 0.500, 0.500], [0.500, 0.000, 0.500], [0.104, 0.719, 0.823], [0.396, 0.219, 0.615], [0.604, 0.781, 0.385], [0.896, 0.281, 0.177]]}


2.
{"formula": "CeCuN2", "functional": "PBE-GGA", "state": "optimized geometry", "m_tot_mub_per_cell": 0.9, "energy_ev_per_atom": -7.184, "lattice": [[1.855, 1.071, 5.592], [-1.855, 1.071, 5.592], [0.000, -2.142, 5.592]], "species": ["Ce", "Cu", "N", "N"], "fractional_positions": [[0.000, 0.000, 0.000], [0.500, 0.500, 0.500], [0.393, 0.393, 0.393], [0.607, 0.607, 0.607]]}


3.
{"formula": "Dy7TlCo2", "functional": "PBE-GGA", "state": "optimized geometry", "m_tot_mub_per_cell": 0.0, "delta_e_f_ev_per_atom": -0.033, "lattice": [[4.439, -6.676, 0.000], [4.439, 6.676, 0.000], [0.000, 0.000, 4.942]], "species": ["Dy", "Dy", "Dy", "Dy", "Dy", "Dy", "Dy", "Tl", "Co", "Co"], "fractional_positions": [[0.000, 0.000, 0.000], [0.184, 0.449, 0.000], [0.205, 0.795, 0.500], [0.449, 0.184, 0.000], [0.551, 0.816, 0.000], [0.795, 0.205, 0.500], [0.816, 0.551, 0.000], [0.500, 0.500, 0.500], [0.203, 0.797, 0.000], [0.797, 0.203, 0.000]]}


4.
{"formula": "Ba2PbIO6", "functional": "PBE-GGA", "state": "optimized geometry", "m_tot_mub_per_cell": 0.0, "energy_ev_per_atom": -5.423, "lattice": [[0.000, 4.415, 4.415], [4.415, 0.000, 4.415], [4.415, 4.415, 0.000]], "species": ["Ba", "Ba", "Pb", "I", "O", "O", "O", "O", "O", "O"], "fractional_positions": [[0.250, 0.250, 0.250], [0.750, 0.750, 0.750], [0.000, 0.000, 0.000], [0.500, 0.500, 0.500], [0.270, 0.270, 0.730], [0.270, 0.730, 0.270], [0.270, 0.730, 0.730], [0.730, 0.270, 0.270], [0.730, 0.270, 0.730], [0.730, 0.730, 0.270]]}


5.
{"formula": "FeTc2Ru", "functional": "PBE-GGA", "state": "optimized geometry", "m_tot_mub_per_cell": 1.8, "de_polymorph_mev_per_atom": 95, "delta_e_f_ev_per_atom": 0.100, "lattice": [[2.693, 0.000, 0.000], [0.000, 3.786, 0.000], [0.000, 0.000, 5.375]], "species": ["Fe", "Tc", "Tc", "Ru"], "fractional_positions": [[0.000, 0.000, 0.000], [0.000, 0.000, 0.494], [0.500, 0.500, 0.762], [0.500, 0.500, 0.241]]}


6.
{"formula": "Zn2PbBr", "functional": "PBE-GGA", "state": "optimized geometry", "m_tot_mub_per_cell": 0.0, "de_polymorph_mev_per_atom": 264, "lattice": [[0.000, 3.703, 3.703], [3.703, 0.000, 3.703], [3.703, 3.703, 0.000]], "species": ["Zn", "Zn", "Pb", "Br"], "fractional_positions": [[0.000, 0.000, 0.000], [0.250, 0.250, 0.250], [0.750, 0.750, 0.750], [0.500, 0.500, 0.500]]}


7.
{"formula": "Li2Hf2ScS6", "functional": "PBE-GGA", "state": "optimized geometry", "m_tot_mub_per_cell": 0.0, "energy_ev_per_atom": -6.617, "lattice": [[3.141, -5.459, 0.000], [3.141, 5.459, 0.000], [-2.087, 0.000, 6.209]], "species": ["Li", "Li", "Hf", "Hf", "Sc", "S", "S", "S", "S", "S", "S"], "fractional_positions": [[0.167, 0.833, 0.000], [0.833, 0.167, 0.000], [0.334, 0.666, 0.500], [0.666, 0.334, 0.500], [0.000, 0.000, 0.500], [0.078, 0.417, 0.740], [0.256, 0.256, 0.260], [0.417, 0.078, 0.740], [0.583, 0.922, 0.260], [0.744, 0.744, 0.740], [0.922, 0.583, 0.260]]}


8.
{"formula": "Pr2InBr2", "functional": "PBE-GGA", "state": "optimized geometry", "m_tot_mub_per_cell": 0.0, "energy_ev_per_atom": -4.321, "lattice": [[2.097, 1.211, 11.702], [-2.097, 1.211, 11.702], [0.000, -2.422, 11.702]], "species": ["Pr", "Pr", "In", "Br", "Br"], "fractional_positions": [[0.106, 0.106, 0.106], [0.894, 0.894, 0.894], [0.500, 0.500, 0.500], [0.280, 0.280, 0.280], [0.720, 0.720, 0.720]]}


9.
{"formula": "MgZnAs", "functional": "PBE-GGA", "state": "optimized geometry", "m_tot_mub_per_cell": 0.0, "delta_e_f_ev_per_atom": -0.153, "lattice": [[4.080, 0.000, 0.000], [-2.040, 3.534, 0.000], [0.000, 0.000, 4.182]], "species": ["Mg", "Zn", "As"], "fractional_positions": [[0.000, 0.000, 0.000], [0.667, 0.333, 0.413], [0.333, 0.667, 0.621]]}


10.
{"formula": "AlHgSb2", "functional": "PBE-GGA", "state": "optimized geometry", "m_tot_mub_per_cell": 0.0, "de_polymorph_mev_per_atom": 98, "lattice": [[1.952, -2.519, 0.000], [1.952, 2.519, 0.000], [0.000, 0.000, 10.551]], "species": ["Al", "Hg", "Sb", "Sb"], "fractional_positions": [[0.000, 0.000, 0.000], [0.000, 0.000, 0.500], [0.500, 0.500, 0.208], [0.500, 0.500, 0.792]]}


11.
{"formula": "NaC2F8", "functional": "PBE-GGA", "state": "optimized geometry", "m_tot_mub_per_cell": 0.0, "energy_ev_per_atom": -4.726, "lattice": [[5.500, 0.000, 0.000], [-2.750, 4.763, 0.000], [0.000, 0.000, 7.749]], "species": ["Na", "C", "C", "F", "F", "F", "F", "F", "F", "F", "F"], "fractional_positions": [[0.000, 0.000, 0.000], [0.333, 0.667, 0.356], [0.667, 0.333, 0.644], [0.200, 0.400, 0.299], [0.200, 0.800, 0.299], [0.333, 0.667, 0.530], [0.400, 0.200, 0.701], [0.600, 0.800, 0.299], [0.667, 0.333, 0.470], [0.800, 0.200, 0.701], [0.800, 0.600, 0.701]]}


12.
{"formula": "PS4Cl", "functional": "PBE-GGA", "state": "optimized geometry", "m_tot_mub_per_cell": 0.0, "de_polymorph_mev_per_atom": 0, "lattice": [[3.316, -11.626, 0.000], [3.316, 11.626, 0.000], [-3.117, 0.000, 4.492]], "species": ["P", "P", "S", "S", "S", "S", "S", "S", "S", "S", "Cl", "Cl"], "fractional_positions": [[0.001, 0.999, 0.750], [0.999, 0.001, 0.250], [0.095, 0.662, 0.533], [0.159, 0.258, 0.654], [0.258, 0.159, 0.154], [0.338, 0.905, 0.967], [0.662, 0.095, 0.033], [0.742, 0.841, 0.846], [0.841, 0.742, 0.346], [0.905, 0.338, 0.467], [0.413, 0.587, 0.250], [0.587, 0.413, 0.750]]}